# 1
The following is a PBE-GGA calculation of a relaxed TmPuZnRh crystal, from the Alexandria database.

Unit cell a=4.908 b=4.908 c=4.908 alpha=60.00 beta=60.00 gamma=60.00
Fractional coordinates of all 4 atoms:
Tm1 0.000 0.000 0.000
Pu1 0.500 0.500 0.500
Zn1 0.250 0.250 0.250
Rh1 0.750 0.750 0.750

Output
DFT formation energy in meV/atom: -401
Crystal system: cubic



# 2
The following is a PBE-GGA calculation of a relaxed Tb4PrEu crystal, from the Alexandria database.

Unit cell a=6.745 b=6.745 c=6.745 alpha=60.00 beta=60.00 gamma=60.00
Fractional coordinates of all 6 atoms:
Tb1 0.377 0.377 0.377
Tb2 0.377 0.377 0.870
Tb3 0.377 0.870 0.377
Tb4 0.870 0.377 0.377
Pr1 0.750 0.750 0.750
Eu1 0.000 0.000 0.000

Output
DFT formation energy in meV/atom: 242
Crystal system: cubic



# 3
The following is a PBE-GGA calculation of a relaxed RbBaGa2 crystal, from the Alexandria database.

Unit cell a=7.586 b=7.586 c=7.586 alpha=102.94 beta=102.94 gamma=123.51
Fractional coordinates of all 8 atoms:
Rb1 0.000 0.000 0.000
Rb2 0.750 0.250 0.500
Ba1 0.250 0.750 0.500
Ba2 0.500 0.500 0.000
Ga1 0.143 0.625 0.018
Ga2 0.375 0.393 0.518
Ga3 0.607 0.125 0.982
Ga4 0.875 0.857 0.482

Output
Excess energy over the best structure of this formula in the dataset in meV/atom: 244.5
DFT formation energy in meV/atom: 263
Crystal system: tetragonal



# 4
The following is a PBE-GGA calculation of a relaxed BaSnTe2F crystal, from the Alexandria database.

Unit cell a=4.509 b=4.509 c=14.935 alpha=90.00 beta=90.00 gamma=90.00
Fractional coordinates of all 10 atoms:
Ba1 0.250 0.250 0.101
Ba2 0.750 0.750 0.899
Sn1 0.250 0.250 0.598
Sn2 0.750 0.750 0.402
Te1 0.250 0.250 0.388
Te2 0.250 0.250 0.789
Te3 0.750 0.750 0.211
Te4 0.750 0.750 0.612
F1 0.250 0.750 0.000
F2 0.750 0.250 0.000

Output
Formation energy from raw total energies in eV/atom: -1.568
Crystal system: tetragonal



# 5
The following is a PBE-GGA calculation of a relaxed Tb2Y3Sc crystal, from the Alexandria database.

Unit cell a=8.934 b=8.934 c=14.049 alpha=116.77 beta=116.77 gamma=22.23
Fractional coordinates of all 12 atoms:
Tb1 0.155 0.155 0.470
Tb2 0.320 0.320 0.121
Tb3 0.680 0.680 0.879
Tb4 0.845 0.845 0.530
Y1 0.099 0.099 0.026
Y2 0.242 0.242 0.294
Y3 0.463 0.463 0.781
Y4 0.537 0.537 0.219
Y5 0.758 0.758 0.706
Y6 0.901 0.901 0.974
Sc1 0.063 0.063 0.641
Sc2 0.937 0.937 0.359

Output
Excess energy over the best structure of this formula in the dataset in meV/atom: 105.4
DFT formation energy in meV/atom: 146
Crystal system: monoclinic



# 6
The following is a PBE-GGA calculation of a relaxed Ce2NiSe crystal, from the Alexandria database.

Unit cell a=7.488 b=7.488 c=7.488 alpha=31.00 beta=31.00 gamma=31.00
Fractional coordinates of all 4 atoms:
Ce1 0.242 0.242 0.242
Ce2 0.758 0.758 0.758
Ni1 0.500 0.500 0.500
Se1 0.000 0.000 0.000

Output
Formation energy from raw total energies in eV/atom: -0.917
Excess energy over the best structure of this formula in the dataset in meV/atom: 0.0
Crystal system: trigonal